1.
# PBE BaLiSn, optimized geometry
data_BaLiSn
_chemical_formula_sum 'Ba2 Li2 Sn2'
_space_group_name_H-M_alt 'P 1'
_space_group_IT_number 1
_cell_length_a 5.033
_cell_length_b 5.033
_cell_length_c 7.664
_cell_angle_alpha 90.00
_cell_angle_beta 90.00
_cell_angle_gamma 90.00
loop_
_space_group_symop_operation_xyz
'x,y,z'
loop_
_atom_site_label
_atom_site_fract_x
_atom_site_fract_y
_atom_site_fract_z
Ba1 0.250 0.250 0.179
Ba2 0.750 0.750 0.821
Li1 0.250 0.750 0.500
Li2 0.750 0.250 0.500
Sn1 0.250 0.250 0.691
Sn2 0.750 0.750 0.309
# SG	P4/nmm


2.
# PBE BaLi6Sn4, optimized geometry
data_BaLi6Sn4
_chemical_formula_sum 'Ba1 Li6 Sn4'
_space_group_name_H-M_alt 'P 1'
_space_group_IT_number 1
_cell_length_a 7.331
_cell_length_b 7.331
_cell_length_c 7.331
_cell_angle_alpha 118.12
_cell_angle_beta 118.12
_cell_angle_gamma 93.29
loop_
_space_group_symop_operation_xyz
'x,y,z'
loop_
_atom_site_label
_atom_site_fract_x
_atom_site_fract_y
_atom_site_fract_z
Ba1 0.000 0.000 0.000
Li1 0.000 0.500 0.500
Li2 0.120 0.120 0.621
Li3 0.499 0.499 0.379
Li4 0.500 0.000 0.500
Li5 0.501 0.880 0.000
Li6 0.880 0.501 0.000
Sn1 0.244 0.584 0.000
Sn2 0.416 0.416 0.660
Sn3 0.584 0.244 0.000
Sn4 0.756 0.756 0.340
# SG	I-42m


3.
# PBE BaLi2Sn, optimized geometry
data_BaLi2Sn
_chemical_formula_sum 'Ba3 Li6 Sn3'
_space_group_name_H-M_alt 'P 1'
_space_group_IT_number 1
_cell_length_a 4.899
_cell_length_b 4.899
_cell_length_c 16.283
_cell_angle_alpha 90.00
_cell_angle_beta 90.00
_cell_angle_gamma 120.00
loop_
_space_group_symop_operation_xyz
'x,y,z'
loop_
_atom_site_label
_atom_site_fract_x
_atom_site_fract_y
_atom_site_fract_z
Ba1 0.000 0.000 0.000
Ba2 0.333 0.667 0.667
Ba3 0.667 0.333 0.333
Li1 0.000 0.000 0.198
Li2 0.000 0.000 0.802
Li3 0.333 0.667 0.469
Li4 0.333 0.667 0.865
Li5 0.667 0.333 0.135
Li6 0.667 0.333 0.531
Sn1 0.000 0.000 0.500
Sn2 0.333 0.667 0.167
Sn3 0.667 0.333 0.833
# SG	R-3m


Number 1: energy relative to the elements -0.503 eV/atom, spin magnetization 0.00 μB per formula unit. Number 2: energy relative to the elements -0.270 eV/atom, spin magnetization 0.00 μB per formula unit. Number 3: energy relative to the elements -0.451 eV/atom, spin magnetization 0.00 μB per formula unit.